A relaxed MnZnOs2 crystal, computed with PBE-GGA.

POSCAR file:
```
MnZnOs2
1.0
-1.509 2.122 4.265
1.509 -2.122 4.265
1.509 2.122 -4.265
Mn Zn Os
1 1 2
direct
0.000 0.000 0.000 Mn
0.242 0.742 0.500 Zn
0.496 0.496 0.000 Os
0.752 0.252 0.500 Os
```

**Energy**: -0.5884 Ry/atom